(P)
LiSn2Au2 PBE optimized geometry; size of the total moment = 0.00 Bohr magnetons per cell; symmetry = I4/mmm, No. 139
1.0
-0.570 -1.107 4.532
3.617 -2.988 -0.275
5.110 2.157 3.606
Li Au Sn
1 2 2
direct
0.000 0.000 0.000
0.250 0.750 0.500
0.750 0.250 0.500
0.375 0.375 0.249
0.625 0.625 0.751

=====

(Q)
LiSn2Au2 PBE optimized geometry; size of the total moment = 0.00 Bohr magnetons per cell; symmetry = P4/mbm, No. 127
1.0
-7.310 -2.028 2.239
2.008 -7.642 -0.365
1.029 0.105 3.456
Sn Au Li
4 4 2
direct
0.648 0.148 0.000
0.148 0.352 0.000
0.352 0.852 0.000
0.852 0.648 0.000
0.346 0.154 0.500
0.154 0.654 0.500
0.654 0.846 0.500
0.846 0.346 0.500
0.500 0.500 0.000
0.000 0.000 0.000

=====

(R)
LiSn2Au2 PBE optimized geometry; size of the total moment = 0.00 Bohr magnetons per cell; symmetry = P2_1/m, No. 11
1.0
4.811 0.000 0.000
0.000 4.759 -0.071
0.000 0.136 9.549
Sn Au Li
4 4 2
direct
0.250 0.750 0.008
0.250 0.750 0.666
0.750 0.250 0.334
0.750 0.250 0.992
0.250 0.249 0.488
0.750 0.750 0.167
0.750 0.751 0.512
0.250 0.250 0.833
0.750 0.251 0.667
0.250 0.749 0.333

=====

Which is the most stable structure? (R) is the most stable.

=====

(P)
LiSn2Au2 PBE optimized geometry; size of the total moment = 0.00 Bohr magnetons per cell; symmetry = I4/mmm, No. 139
1.0
4.752 0.000 0.000
0.000 4.752 0.000
2.376 2.376 5.689
Au Sn Li
2 2 1
direct
0.619 0.619 0.762
0.381 0.381 0.238
0.250 0.750 0.500
0.750 0.250 0.500
0.000 0.000 0.000

=====

(Q)
LiSn2Au2 PBE optimized geometry; size of the total moment = 0.00 Bohr magnetons per cell; symmetry = Cmc2_1, No. 36
1.0
4.448 0.000 0.000
0.000 7.095 0.000
-2.224 0.000 6.948
Sn Au Li
4 4 2
direct
0.184 0.847 0.369
0.962 0.747 0.923
0.038 0.247 0.077
0.816 0.347 0.631
0.794 0.957 0.589
0.206 0.457 0.411
0.422 0.501 0.844
0.578 0.001 0.156
0.391 0.083 0.782
0.609 0.583 0.218

=====

(R)
LiSn2Au2 PBE optimized geometry; size of the total moment = 0.00 Bohr magnetons per cell; symmetry = P4/mbm, No. 127
1.0
7.344 0.000 0.000
0.000 7.344 0.000
0.000 0.000 4.058
Sn Au Li
4 4 2
direct
0.832 0.332 0.500
0.332 0.168 0.500
0.668 0.832 0.500
0.168 0.668 0.500
0.642 0.142 0.000
0.858 0.642 0.000
0.358 0.858 0.000
0.142 0.358 0.000
0.500 0.500 0.000
0.000 0.000 0.000

=====

Which is the most stable structure? (Q) is the most stable.

=====

(P)
LiSnAu4 PBE optimized geometry; size of the total moment = 0.00 Bohr magnetons per cell; symmetry = C2/m, No. 12
1.0
5.435 0.000 -0.472
0.000 7.087 0.000
-2.231 -3.544 6.054
Au Li Sn
8 2 2
direct
0.717 0.327 0.654
0.415 0.088 0.758
0.000 0.794 0.000
0.585 0.330 0.242
0.415 0.670 0.758
0.585 0.912 0.242
0.283 0.673 0.346
0.000 0.206 0.000
0.242 0.460 0.920
0.758 0.540 0.080
0.099 0.208 0.415
0.901 0.792 0.585

=====

(Q)
LiSnAu4 PBE optimized geometry; size of the total moment = 0.00 Bohr magnetons per cell; symmetry = C2/m, No. 12
1.0
-1.778 2.767 0.524
-2.734 1.235 -5.213
-4.070 -1.721 5.853
Au Sn Li
4 1 1
direct
0.826 0.509 0.839
0.343 0.999 0.316
0.657 0.001 0.684
0.174 0.491 0.161
0.500 0.500 0.500
0.000 0.000 0.000

=====

Which is the most stable structure? (Q) is the most stable.

=====

(P)
LiSn2Au PBE optimized geometry; size of the total moment = 0.00 Bohr magnetons per cell; symmetry = P4/mmm, No. 123
1.0
4.292 0.000 0.000
0.000 4.449 0.000
0.000 0.000 4.449
Sn Au Li
2 1 1
direct
0.000 0.000 0.500
0.000 0.500 0.000
0.500 0.500 0.500
0.500 0.000 0.000

=====

(Q)
LiSn2Au PBE optimized geometry; size of the total moment = 0.00 Bohr magnetons per cell; symmetry = I-42d, No. 122
1.0
-3.979 -1.741 0.541
1.416 -2.132 3.550
-3.799 5.524 7.530
Sn Li Au
4 2 2
direct
0.130 0.625 0.250
0.875 0.870 0.750
0.375 0.380 0.750
0.620 0.125 0.250
0.250 0.750 0.500
0.500 0.500 0.000
0.000 0.000 0.000
0.750 0.250 0.500

=====

Which is the most stable structure? (P) is the most stable.

=====

(P)
LiSn2Au PBE optimized geometry; size of the total moment = 0.00 Bohr magnetons per cell; symmetry = Cm, No. 8
1.0
4.521 0.000 0.000
2.261 3.913 0.043
2.261 1.301 5.025
Sn Au Li
2 1 1
direct
0.699 0.459 0.144
0.907 0.671 0.514
0.482 0.247 0.790
0.123 0.885 0.870

=====

(Q)
LiSn2Au PBE optimized geometry; size of the total moment = 0.00 Bohr magnetons per cell; symmetry = Fm-3m, No. 225
1.0
0.000 3.509 3.509
3.509 0.000 3.509
3.509 3.509 0.000
Sn Li Au
2 1 1
direct
0.250 0.250 0.250
0.750 0.750 0.750
0.000 0.000 0.000
0.500 0.500 0.500

=====

(R)
LiSn2Au PBE optimized geometry; size of the total moment = 0.00 Bohr magnetons per cell; symmetry = R3m, No. 160
1.0
-1.822 2.227 3.526
-4.521 0.160 0.500
-1.952 -3.636 4.225
Sn Au Li
2 1 1
direct
0.266 0.266 0.203
0.071 0.071 0.787
0.670 0.670 0.989
0.493 0.493 0.521

=====

Which is the most stable structure? (R) is the most stable.

=====

(P)
Li2SnAu3 PBE optimized geometry; size of the total moment = 0.00 Bohr magnetons per cell; symmetry = C2/c, No. 15
1.0
5.937 0.000 0.000
0.000 5.089 0.459
-2.968 -0.759 7.071
Au Li Sn
6 4 2
direct
0.949 0.924 0.655
0.294 0.576 0.345
0.621 0.250 0.000
0.379 0.750 0.000
0.051 0.076 0.345
0.706 0.424 0.655
0.795 0.571 0.346
0.448 0.929 0.654
0.552 0.071 0.346
0.205 0.429 0.654
0.851 0.750 0.000
0.149 0.250 0.000

=====

(Q)
Li2SnAu3 PBE optimized geometry; size of the total moment = 0.00 Bohr magnetons per cell; symmetry = P-3m1, No. 164
1.0
4.584 0.000 0.000
-2.292 3.969 0.000
0.001 -0.001 11.586
Sn Li Au
2 4 6
direct
0.333 0.667 0.675
0.667 0.333 0.325
0.000 0.000 0.000
0.667 0.333 0.835
0.000 0.000 0.500
0.333 0.667 0.165
0.667 0.333 0.070
0.667 0.333 0.577
0.333 0.667 0.930
0.000 0.000 0.226
0.333 0.667 0.423
0.000 0.000 0.774

=====

Which is the most stable structure? (Q) is the most stable.